# 1
# Ta2Ni2Au

A relaxed structure of Ta2Ni2Au (PBE, Alexandria via LeMat-Bulk).

It has space group P4/mbm (No. 127), with a = 7.634 Å, b = 7.634 Å, c = 2.713 Å, α = 90.00°, β = 90.00° and γ = 90.00°. Symmetry generates all atoms from Ta at (0.131, 0.369, 0.000), Ni at (0.164, 0.664, 0.500) and Au at (0.000, 0.000, 0.000).

The excess energy over the best structure of this formula in the dataset is 275 meV/atom. For the density of states at the Fermi level, the calculation gives 0.70 states/eV/atom. The calculated formation energy is 0.0856 eV/atom.

=====

# 2
# Ta3NiAu

A relaxed structure of Ta3NiAu (PBE, Alexandria via LeMat-Bulk).

It has space group Pm-3m (No. 221), with a = 4.583 Å, b = 4.583 Å, c = 4.583 Å, α = 90.00°, β = 90.00° and γ = 90.00°. Symmetry generates all atoms from Ta at (0.000, 0.000, 0.500), Ni at (0.000, 0.000, 0.000) and Au at (0.500, 0.500, 0.500).

The excess energy over the best structure of this formula in the dataset is 0 meV/atom. For the density of states at the Fermi level, the calculation gives 1.31 states/eV/atom. The calculated formation energy is 0.7840 eV/atom.

=====

# 3
# TaNiAu

A relaxed structure of TaNiAu (PBE, Alexandria via LeMat-Bulk).

It has space group Imm2 (No. 44), with a = 2.995 Å, b = 3.656 Å, c = 8.476 Å, α = 90.00°, β = 90.00° and γ = 90.00°. Symmetry generates all atoms from Ta at (0.000, 0.000, 0.000), Ni at (0.000, 0.000, 0.348) and Au at (0.000, 0.000, 0.680).

The excess energy over the best structure of this formula in the dataset is 19 meV/atom. For the density of states at the Fermi level, the calculation gives 0.60 states/eV/atom. The calculated formation energy is -0.1619 eV/atom.

=====

# 4
# TaNi2Au

A relaxed structure of TaNi2Au (PBE, Alexandria via LeMat-Bulk).

It has space group Cm (No. 8), with a = 9.190 Å, b = 2.890 Å, c = 4.455 Å, α = 90.00°, β = 104.97° and γ = 90.00°. Symmetry generates all atoms from Ta at (0.000, 0.000, 0.000), Ni at (0.251, 0.500, 0.208), Ni at (0.480, 0.000, 0.469) and Au at (0.233, 0.000, 0.695).

For the density of states at the Fermi level, the calculation gives 0.72 states/eV/atom. The calculated formation energy is -0.0795 eV/atom.

=====

| no. | magnetic moment (Bohr magnetons per cell) |
| --- | --- |
| 1 | 0.0 |
| 2 | 0.0 |
| 3 | 0.0 |
| 4 | 0.0 |